Entry A
Here is a geometry-optimized Fe2AsN structure from Alexandria. Energies are from PBE-GGA.

Cell and atoms, written as CIF:
```
data_Fe2AsN
_symmetry_space_group_name_H-M 'I -4 2 d'
_symmetry_Int_Tables_number 122
_symmetry_space_group_name_Hall 'I -4 2bw'
_cell_length_a 4.783
_cell_length_b 4.783
_cell_length_c 9.021
_cell_angle_alpha 90.00
_cell_angle_beta 90.00
_cell_angle_gamma 90.00
loop_
_atom_site_label
_atom_site_fract_x
_atom_site_fract_y
_atom_site_fract_z
Fe1 0.158 0.250 0.125
As1 0.000 0.000 0.500
N1 0.000 0.000 0.000
```

Output
The value obtained for the density is 6.46 g cm⁻³. As for the total magnetic moment: 0.00 Bohr magnetons per cell.

Entry B
Here is a geometry-optimized Fe2AsN structure from Alexandria. Energies are from PBE-GGA.

Cell and atoms, written as CIF:
```
data_Fe2AsN
_symmetry_space_group_name_H-M 'F m -3 m'
_symmetry_Int_Tables_number 225
_symmetry_space_group_name_Hall '-F 4 2 3'
_cell_length_a 5.515
_cell_length_b 5.515
_cell_length_c 5.515
_cell_angle_alpha 90.00
_cell_angle_beta 90.00
_cell_angle_gamma 90.00
loop_
_atom_site_label
_atom_site_fract_x
_atom_site_fract_y
_atom_site_fract_z
Fe1 0.250 0.250 0.250
As1 0.000 0.000 0.000
N1 0.000 0.000 0.500
```

Output
The value obtained for the density is 7.95 g cm⁻³. As for the total magnetic moment: 0.00 Bohr magnetons per cell.

What is the least stable structure shown above? It is entry B.